i:
Material: SeS3Br
Method: DFT, PBE
State: optimized geometry

Values from the calculation:
Magnetic moment in μB/cell: 0.00
D(E_F) in states/eV/f.u.: 2.62
ρ in g/cm3: 2.69

Cell lengths 5.8507, 8.8031, 6.1121 Å; angles 90.48, 90.12, 90.04 degrees
Closest atoms and distances in Å follow each position.
Atoms (fractional coordinates):
Se 0.7560 0.8103 0.3013  2 S 2.25-2.30
Se 0.2560 0.5430 0.7988  2 S 2.25-2.30
S 0.7739 0.3897 0.7900  2 S 2.07-2.10
S 0.4949 0.8907 0.0587  1 S 2.09, 1 Se 2.25
S 0.9884 0.4645 0.5452  1 S 2.07, 1 Se 2.30
S 0.2738 0.9630 0.3077  2 S 2.07-2.09
S 0.9954 0.4616 0.0401  1 S 2.10, 1 Se 2.25
S 0.4887 0.8890 0.5535  1 S 2.07, 1 Se 2.30
Br 0.6085 0.3600 0.3160  3 S 2.78-3.06
Br 0.1080 0.9922 0.7811  3 S 2.78-3.06



ii:
Material: SeS3Br
Method: DFT, PBE
State: optimized geometry

Values from the calculation:
Magnetic moment in μB/cell: 0.00
D(E_F) in states/eV/f.u.: 8.15
ρ in g/cm3: 3.73

Cell lengths 4.8431, 4.8431, 4.8431 Å; angles 90.00, 90.00, 90.00 degrees
Closest atoms and distances in Å follow each position.
Atoms (fractional coordinates):
S 0.0000 0.5000 0.0000  2 Se 2.42
S 0.0000 0.0000 0.5000  2 Se 2.42
S 0.5000 0.0000 0.0000  2 Se 2.42
Se 0.0000 0.0000 0.0000  6 S 2.42
Br 0.5000 0.5000 0.5000  12 S 3.42



Most stable one: i, least stable one: ii.



i:
Material: SnSe2SBr
Method: DFT, PBE
State: optimized geometry

Values from the calculation:
Magnetic moment in μB/cell: 0.00
D(E_F) in states/eV/f.u.: 2.54
ρ in g/cm3: 5.10

Cell lengths 4.9284, 4.9284, 5.2089 Å; angles 90.00, 90.00, 90.00 degrees
Closest atoms and distances in Å follow each position.
Atoms (fractional coordinates):
S 0.0000 0.0000 0.0000  4 Se 2.46, 2 Br 2.60
Se 0.0000 0.5000 0.0000  2 S 2.46
Se 0.5000 0.0000 0.0000  2 S 2.46
Sn 0.5000 0.5000 0.5000  4 Br 3.48, 8 Se 3.59
Br 0.0000 0.0000 0.5000  2 S 2.60



ii:
Material: SnSe2SBr
Method: DFT, PBE
State: optimized geometry

Values from the calculation:
Magnetic moment in μB/cell: 0.00
D(E_F) in states/eV/f.u.: 3.62
ρ in g/cm3: 4.77

Cell lengths 4.8305, 5.7930, 4.8305 Å; angles 90.00, 90.00, 90.00 degrees
Closest atoms and distances in Å follow each position.
Atoms (fractional coordinates):
S 0.0000 0.0000 0.0000  4 Se 2.42
Se 0.0000 0.0000 0.5000  2 S 2.42
Se 0.5000 0.0000 0.0000  2 S 2.42
Sn 0.0000 0.5000 0.0000  2 S 2.90
Br 0.5000 0.5000 0.5000  4 Sn 3.42, 8 Se 3.77



Most stable one: i, least stable one: ii.



i:
Material: SnSeSBr2
Method: DFT, PBE
State: optimized geometry

Values from the calculation:
Magnetic moment in μB/cell: 2.95
D(E_F) in states/eV/f.u.: 3.63
ρ in g/cm3: 3.88

Cell lengths 5.5237, 5.5237, 5.4623 Å; angles 90.00, 90.00, 90.00 degrees
Closest atoms and distances in Å follow each position.
Atoms (fractional coordinates):
S 0.5000 0.5000 0.5000  8 Br 3.88, 4 Se 3.91
Se 0.0000 0.0000 0.5000  2 Sn 2.73
Sn 0.0000 0.0000 0.0000  2 Se 2.73, 4 Br 2.76
Br 0.0000 0.5000 0.0000  2 Sn 2.76
Br 0.5000 0.0000 0.0000  2 Sn 2.76



ii:
Material: SnSeSBr2
Method: DFT, PBE
State: optimized geometry

Values from the calculation:
Magnetic moment in μB/cell: 0.00
D(E_F) in states/eV/f.u.: 3.28
ρ in g/cm3: 4.82

Cell lengths 5.1541, 5.1541, 5.0531 Å; angles 90.00, 90.00, 90.00 degrees
Closest atoms and distances in Å follow each position.
Atoms (fractional coordinates):
S 0.0000 0.0000 0.0000  2 Se 2.53, 4 Br 2.58
Se 0.0000 0.0000 0.5000  2 S 2.53
Sn 0.5000 0.5000 0.5000  8 Br 3.61, 4 Se 3.64
Br 0.0000 0.5000 0.0000  2 S 2.58
Br 0.5000 0.0000 0.0000  2 S 2.58



Most stable one: ii, least stable one: i.



i:
Material: SrSe2SBr
Method: DFT, PBE
State: optimized geometry

Values from the calculation:
Magnetic moment in μB/cell: 5.00
D(E_F) in states/eV/f.u.: 4.20
ρ in g/cm3: 2.69

Cell lengths 6.1328, 6.1328, 5.8711 Å; angles 90.00, 90.00, 90.00 degrees
Closest atoms and distances in Å follow each position.
Atoms (fractional coordinates):
Sr 0.0000 0.0000 0.0000  2 Br 2.94, 4 Se 3.07
S 0.5000 0.5000 0.5000  8 Se 4.25, 4 Br 4.34
Se 0.0000 0.5000 0.0000  2 Sr 3.07
Se 0.5000 0.0000 0.0000  2 Sr 3.07
Br 0.0000 0.0000 0.5000  2 Sr 2.94



ii:
Material: SrSe2SBr
Method: DFT, PBE
State: optimized geometry

Values from the calculation:
Magnetic moment in μB/cell: 0.00
D(E_F) in states/eV/f.u.: 2.01
ρ in g/cm3: 4.51

Cell lengths 4.9752, 4.9752, 5.3142 Å; angles 90.00, 90.00, 90.00 degrees
Closest atoms and distances in Å follow each position.
Atoms (fractional coordinates):
Sr 0.5000 0.5000 0.5000  4 Br 3.52, 8 Se 3.64
S 0.0000 0.0000 0.0000  4 Se 2.49, 2 Br 2.66
Se 0.0000 0.5000 0.0000  2 S 2.49
Se 0.5000 0.0000 0.0000  2 S 2.49
Br 0.0000 0.0000 0.5000  2 S 2.66



Most stable one: ii, least stable one: i.